# 1
Ac4Nd7Sm: optimized geometry, GGA-PBE.

a b c (Å): 3.798 3.798 36.816
angles (deg): 90.00 90.00 120.00
Fractional coordinates of all 12 atoms:
Ac: 0.667 0.333 0.085
Ac: 0.333 0.667 0.665
Ac: 0.667 0.333 0.335
Ac: 0.333 0.667 0.915
Nd: 0.000 0.000 0.000
Nd: 0.000 0.000 0.250
Nd: 0.333 0.667 0.170
Nd: 0.667 0.333 0.580
Nd: 0.667 0.333 0.830
Nd: 0.000 0.000 0.750
Nd: 0.333 0.667 0.420
Sm: 0.000 0.000 0.500

The total energy is -54.1 eV for the cell shown. The formation enthalpy at 0 K comes out at 0.04 eV per atom.

# 2
Ag2Te3: optimized geometry, GGA-PBE.

a b c (Å): 4.450 6.156 10.988
angles (deg): 85.80 78.32 68.81
Fractional coordinates of all 10 atoms:
Ag: 0.786 0.845 0.448
Ag: 0.381 0.655 0.948
Ag: 0.984 0.345 0.052
Ag: 0.079 0.155 0.552
Te: 0.119 0.488 0.779
Te: 0.648 0.988 0.721
Te: 0.386 0.512 0.221
Te: 0.357 0.012 0.279
Te: 0.629 0.000 0.000
Te: 0.379 0.500 0.500

The total energy is -29.6 eV for the cell shown. The formation energy from raw total energies comes out at 0.0667 eV per atom.

# 3
LiAlPd: optimized geometry, GGA-PBE.

a b c (Å): 3.167 3.167 4.782
angles (deg): 109.34 109.34 90.00
Fractional coordinates of all 3 atoms:
Li: 0.612 0.612 0.224
Pd: 0.948 0.948 0.897
Al: 0.289 0.289 0.579

The total energy is -12.6 eV for the cell shown. The formation enthalpy at 0 K comes out at -0.59 eV per atom.

# 4
TcI2Br: optimized geometry, GGA-PBE.

a b c (Å): 7.556 7.556 7.286
angles (deg): 58.77 58.77 90.00
Fractional coordinates of all 8 atoms:
Tc: 0.750 0.250 0.500
Tc: 0.000 0.000 0.000
I: 0.375 0.287 0.750
I: 0.037 0.625 0.250
I: 0.875 0.963 0.750
I: 0.713 0.125 0.250
Br: 0.500 0.500 0.000
Br: 0.250 0.750 0.500

The total energy is -27.3 eV for the cell shown. For the energy above the most stable polymorph in this dataset, the calculation gives 0.000 eV per atom. The formation energy from raw total energies comes out at 0.3758 eV per atom.

# 5
Cu3BiS4: optimized geometry, GGA-PBE.

a b c (Å): 6.478 6.624 7.698
angles (deg): 90.00 90.00 90.00
Fractional coordinates of all 16 atoms:
Bi: 0.995 0.166 0.000
Bi: 0.495 0.834 0.500
S: 0.151 0.353 0.723
S: 0.651 0.647 0.223
S: 0.651 0.647 0.777
S: 0.147 0.792 0.000
S: 0.071 0.843 0.500
S: 0.571 0.157 0.000
S: 0.647 0.208 0.500
S: 0.151 0.353 0.277
Cu: 0.998 0.178 0.500
Cu: 0.498 0.822 0.000
Cu: 0.001 0.667 0.750
Cu: 0.501 0.333 0.750
Cu: 0.501 0.333 0.250
Cu: 0.001 0.667 0.250

The total energy is -68.8 eV for the cell shown. For the energy above the most stable polymorph in this dataset, the calculation gives 0.000 eV per atom. The formation energy from raw total energies comes out at -0.2151 eV per atom.

# 6
LiIn4Ge4O14: optimized geometry, GGA-PBE.

a b c (Å): 7.128 7.128 7.128
angles (deg): 59.50 59.50 59.50
Fractional coordinates of all 23 atoms:
In: 0.995 0.518 0.518
In: 0.518 0.518 0.995
In: 0.502 0.502 0.502
In: 0.518 0.995 0.518
O: 0.077 0.077 0.668
O: 0.668 0.077 0.077
O: 0.625 0.625 0.625
O: 0.371 0.371 0.371
O: 0.077 0.668 0.077
O: 0.672 0.672 0.078
O: 0.078 0.672 0.672
O: 0.322 0.322 0.927
O: 0.329 0.920 0.920
O: 0.920 0.920 0.329
O: 0.927 0.322 0.322
O: 0.672 0.078 0.672
O: 0.322 0.927 0.322
O: 0.920 0.329 0.920
Ge: 0.998 0.502 0.998
Ge: 0.998 0.998 0.502
Ge: 0.996 0.996 0.996
Ge: 0.502 0.998 0.998
Li: 0.252 0.252 0.252

The total energy is -135.9 eV for the cell shown. For the energy above the most stable polymorph in this dataset, the calculation gives 0.000 eV per atom. The formation energy from raw total energies comes out at -1.5301 eV per atom.

# 7
Yb3Np: optimized geometry, GGA-PBE.

a b c (Å): 5.057 5.057 5.057
angles (deg): 90.00 90.00 90.00
Site moments in Bohr magnetons follow the coordinates.
Fractional coordinates of all 4 atoms:
Yb: 0.500 0.500 0.000  -0.01
Yb: 0.000 0.500 0.500  -0.01
Yb: 0.500 0.000 0.500  -0.01
Np: 0.000 0.000 0.000  4.36

The total energy is -16.0 eV for the cell shown. The formation enthalpy at 0 K comes out at 0.38 eV per atom.

# 8
BaMnW2: optimized geometry, GGA-PBE.

a b c (Å): 5.941 5.941 2.818
angles (deg): 90.00 90.00 124.66
Site moments in Bohr magnetons follow the coordinates.
Fractional coordinates of all 4 atoms:
W: 0.500 0.500 0.000  -0.10
W: 0.000 0.000 0.000  -0.10
Mn: 0.000 0.500 0.500  3.40
Ba: 0.500 0.000 0.500  -0.04

The total energy is -30.9 eV for the cell shown. The formation enthalpy at 0 K comes out at 1.54 eV per atom. For the energy above the most stable polymorph in this dataset, the calculation gives 0.794 eV per atom.

# 9
Sr3MnBr2Cl6: optimized geometry, GGA-PBE.

a b c (Å): 6.469 8.363 8.315
angles (deg): 120.19 87.26 90.00
Site moments in Bohr magnetons follow the coordinates.
Fractional coordinates of all 12 atoms:
Cl: 0.291 0.152 0.304  0.03
Cl: 0.277 0.166 0.864  0.03
Cl: 0.723 0.303 0.136  0.03
Cl: 0.723 0.834 0.136  0.03
Cl: 0.709 0.848 0.696  0.03
Cl: 0.277 0.697 0.864  0.03
Br: 0.800 0.314 0.628  0.00
Br: 0.200 0.686 0.372  0.00
Sr: 0.000 0.500 0.000  0.01
Sr: 0.500 0.500 0.500  0.00
Sr: 0.500 0.000 0.500  0.00
Mn: 0.500 0.000 0.000  4.46

The total energy is -52.5 eV for the cell shown. The formation energy from raw total energies comes out at -1.9871 eV per atom.

# 10
SmErTm2Th: optimized geometry, GGA-PBE.

a b c (Å): 5.577 8.616 7.040
angles (deg): 90.04 90.00 90.00
Fractional coordinates of all 10 atoms:
Er: 0.000 0.500 0.250
Er: 0.000 0.500 0.750
Tm: 0.500 0.322 0.500
Tm: 0.500 0.678 0.500
Tm: 0.500 0.678 0.000
Tm: 0.500 0.322 0.000
Sm: 0.000 0.000 0.500
Sm: 0.000 0.000 0.000
Th: 0.500 0.000 0.750
Th: 0.500 0.000 0.250

The total energy is -47.9 eV for the cell shown. The formation enthalpy at 0 K comes out at 0.34 eV per atom.

# 11
Hf2ScNbN: optimized geometry, GGA-PBE.

a b c (Å): 4.468 4.468 4.406
angles (deg): 90.00 90.00 90.00
Fractional coordinates of all 5 atoms:
Nb: 0.500 0.500 0.500
Sc: 0.000 0.000 0.500
Hf: 0.000 0.500 0.000
Hf: 0.500 0.000 0.000
N: 0.000 0.000 0.000

The total energy is -48.0 eV for the cell shown. For the energy above the most stable polymorph in this dataset, the calculation gives 0.000 eV per atom. The formation energy from raw total energies comes out at -0.6745 eV per atom.

# 12
Th2SiGe: optimized geometry, GGA-PBE.

a b c (Å): 4.285 4.285 7.409
angles (deg): 73.19 73.19 60.00
Fractional coordinates of all 4 atoms:
Th: 0.749 0.749 0.753
Th: 0.251 0.251 0.247
Si: 0.000 0.000 0.000
Ge: 0.500 0.500 0.500

The total energy is -27.7 eV for the cell shown. For the energy above the most stable polymorph in this dataset, the calculation gives 0.044 eV per atom. The formation energy from raw total energies comes out at -0.6985 eV per atom.